1.
# VSiC

Crystalline VSiC at its relaxed geometry (PBE, Alexandria via LeMat-Bulk). Values from VASP.

Computed properties:
For the final energy, the calculation gives -41.416 eV for the cell shown. The formation energy from raw total energies comes out at 1.0191 eV per atom.

```
&SYSTEM
  ibrav = 0, nat = 6, ntyp = 3
/
ATOMIC_SPECIES
C 12.01 C.upf
Si 28.09 Si.upf
V 50.94 V.upf
ATOMIC_POSITIONS crystal
C 0.3260 0.8260 0.6520
Si 0.2495 0.5000 0.0000
V 0.1838 0.6838 0.3677
Si 0.7505 0.5000 0.0000
C 0.6740 0.1740 0.3480
V 0.8162 0.3162 0.6323
CELL_PARAMETERS angstrom
4.1146 0.0000 0.0000
0.0000 2.5148 0.0000
-2.0573 -1.2574 6.8759
```

2.
# Pa2Ni12As3Pd

Crystalline Pa2Ni12As3Pd at its relaxed geometry (PBE, Alexandria via LeMat-Bulk). Values from VASP.

Computed properties:
The value obtained for the formation energy is -0.140 eV per atom. For the final energy, the calculation gives -110.030 eV for the cell shown.

```
&SYSTEM
  ibrav = 0, nat = 18, ntyp = 4
/
ATOMIC_SPECIES
Ni 58.69 Ni.upf
Pa 231.04 Pa.upf
As 74.92 As.upf
Pd 106.42 Pd.upf
ATOMIC_POSITIONS crystal
Ni 0.1152 0.6047 0.6047
Pa 0.6707 0.6707 0.6707
Ni 0.8029 0.3119 0.8029
Pa 0.3293 0.3293 0.3293
Ni 0.1971 0.6881 0.1971
Ni 0.8848 0.3953 0.3953
As 0.0000 0.5000 0.0000
Ni 0.3953 0.3953 0.8848
Ni 0.3119 0.8029 0.8029
Ni 0.6047 0.6047 0.1152
Ni 0.1971 0.1971 0.6881
Ni 0.6881 0.1971 0.1971
Ni 0.3953 0.8848 0.3953
As 0.0000 0.0000 0.5000
Ni 0.6047 0.1152 0.6047
Pd 0.0000 0.0000 0.0000
As 0.5000 0.0000 0.0000
Ni 0.8029 0.8029 0.3119
CELL_PARAMETERS angstrom
-5.5164 -2.1087 2.3978
-2.9798 -0.5283 -5.6097
1.2670 -6.1926 -0.8208
```

3.
# ZnCdSb

Crystalline ZnCdSb at its relaxed geometry (PBE, Alexandria via LeMat-Bulk). Values from VASP.

Computed properties:
For the final energy, the calculation gives -5.899 eV for the cell shown. The formation energy from raw total energies comes out at 0.1374 eV per atom.

```
&SYSTEM
  ibrav = 0, nat = 3, ntyp = 3
/
ATOMIC_SPECIES
Cd 112.41 Cd.upf
Sb 121.76 Sb.upf
Zn 65.41 Zn.upf
ATOMIC_POSITIONS crystal
Cd 0.0000 0.0000 0.9746
Sb 0.6667 0.3333 0.3548
Zn 0.3333 0.6667 0.6707
CELL_PARAMETERS angstrom
3.5265 0.0000 0.0000
-1.7633 3.0541 0.0000
0.0000 0.0000 6.5092
```

4.
# KTa3Ru

Crystalline KTa3Ru at its relaxed geometry (PBE, Alexandria via LeMat-Bulk). Values from VASP.

Computed properties:
The value obtained for the formation energy is 3.028 eV per atom. For the final energy, the calculation gives -30.793 eV for the cell shown.

```
&SYSTEM
  ibrav = 0, nat = 5, ntyp = 3
/
ATOMIC_SPECIES
Ta 180.95 Ta.upf
Ru 101.07 Ru.upf
K 39.10 K.upf
ATOMIC_POSITIONS crystal
Ta 0.0000 0.5000 0.0000
Ru 0.5000 0.5000 0.5000
Ta 0.0000 0.0000 0.5000
K 0.0000 0.0000 0.0000
Ta 0.5000 0.0000 0.0000
CELL_PARAMETERS angstrom
4.5383 0.0000 0.0000
0.0000 4.5383 0.0000
0.0000 0.0000 4.5383
```

5.
# CaOsRu

Crystalline CaOsRu at its relaxed geometry (PBE, Alexandria via LeMat-Bulk). Values from VASP.

Computed properties:
The value obtained for the formation energy is 0.195 eV per atom. For the final energy, the calculation gives -43.847 eV for the cell shown.

```
&SYSTEM
  ibrav = 0, nat = 6, ntyp = 3
/
ATOMIC_SPECIES
Ru 101.07 Ru.upf
Os 190.23 Os.upf
Ca 40.08 Ca.upf
ATOMIC_POSITIONS crystal
Ru 0.9504 0.7403 0.4308
Os 0.8871 0.2433 0.2744
Ru 0.3840 0.3067 0.1181
Os 0.4474 0.8037 0.2744
Ca 0.4049 0.2860 0.6176
Ca 0.9297 0.7612 0.9312
CELL_PARAMETERS angstrom
4.5299 -0.0027 -0.0011
-0.7032 4.4750 0.0013
0.0376 -0.0323 6.5301
```

6.
# TaRu

Crystalline TaRu at its relaxed geometry (PBE, Alexandria via LeMat-Bulk). Values from VASP.

Computed properties:
The value obtained for the formation energy is 0.111 eV per atom. For the final energy, the calculation gives -125.440 eV for the cell shown.

```
&SYSTEM
  ibrav = 0, nat = 12, ntyp = 2
/
ATOMIC_SPECIES
Ru 101.07 Ru.upf
Ta 180.95 Ta.upf
ATOMIC_POSITIONS crystal
Ru 0.8928 0.3574 0.7500
Ta 0.2871 0.0778 0.2500
Ru 0.4646 0.1072 0.7500
Ru 0.1072 0.6426 0.2500
Ru 0.3574 0.4646 0.2500
Ru 0.6426 0.5354 0.7500
Ta 0.9222 0.2093 0.2500
Ta 0.7129 0.9222 0.7500
Ta 0.7907 0.7129 0.2500
Ta 0.0778 0.7907 0.7500
Ta 0.2093 0.2871 0.7500
Ru 0.5354 0.8928 0.2500
CELL_PARAMETERS angstrom
7.2122 0.0000 0.0000
-3.6061 6.2460 0.0000
0.0000 0.0000 4.7362
```

7.
# In2FeIr

Crystalline In2FeIr at its relaxed geometry (PBE, Alexandria via LeMat-Bulk). Values from VASP.

Computed properties:
The value obtained for the formation energy is 0.168 eV per atom. For the final energy, the calculation gives -22.129 eV for the cell shown.

```
&SYSTEM
  ibrav = 0, nat = 4, ntyp = 3
/
ATOMIC_SPECIES
Fe 55.84 Fe.upf
In 114.82 In.upf
Ir 192.22 Ir.upf
ATOMIC_POSITIONS crystal
Fe 0.7500 0.2500 0.5000
In 0.2500 0.7500 0.5000
In 0.0000 0.0000 0.0000
Ir 0.5000 0.5000 0.0000
CELL_PARAMETERS angstrom
5.1647 -0.0121 0.0000
2.0865 4.7245 0.0000
-3.6256 -2.3562 2.8245
```

8.
# SrAc2RhO6

Crystalline SrAc2RhO6 at its relaxed geometry (PBE, Alexandria via LeMat-Bulk). Values from VASP.

Computed properties:
For the final energy, the calculation gives -142.801 eV for the cell shown. The formation energy from raw total energies comes out at -2.4401 eV per atom.

```
&SYSTEM
  ibrav = 0, nat = 20, ntyp = 4
/
ATOMIC_SPECIES
O 16.00 O.upf
Rh 102.91 Rh.upf
Ac 227.00 Ac.upf
Sr 87.62 Sr.upf
ATOMIC_POSITIONS crystal
O 0.7186 0.3208 0.9481
O 0.3876 0.9503 0.7248
O 0.1719 0.2242 0.0671
O 0.1124 0.4503 0.7752
O 0.8876 0.5497 0.2248
Rh 0.5000 0.0000 0.5000
Ac 0.9825 0.0578 0.7475
O 0.6125 0.0497 0.2752
Sr 0.0000 0.5000 0.5000
O 0.6719 0.2758 0.5671
Ac 0.5175 0.5578 0.7525
Sr 0.5000 0.0000 0.0000
O 0.3281 0.7242 0.4329
O 0.8281 0.7758 0.9329
Rh 0.0000 0.5000 0.0000
O 0.7814 0.8208 0.5519
O 0.2186 0.1792 0.4481
O 0.2814 0.6792 0.0519
Ac 0.0175 0.9422 0.2525
Ac 0.4825 0.4422 0.2475
CELL_PARAMETERS angstrom
-2.9605 4.9858 1.0627
-4.3453 -3.2287 3.0428
4.3741 0.9237 7.2265
```

9.
# K5Ga2O5

Crystalline K5Ga2O5 at its relaxed geometry (PBE, Alexandria via LeMat-Bulk). Values from VASP.

Computed properties:
For the final energy, the calculation gives -53.045 eV for the cell shown. The formation energy from raw total energies comes out at -1.3928 eV per atom.

```
&SYSTEM
  ibrav = 0, nat = 12, ntyp = 3
/
ATOMIC_SPECIES
K 39.10 K.upf
O 16.00 O.upf
Ga 69.72 Ga.upf
ATOMIC_POSITIONS crystal
K 0.7239 0.4478 0.3196
K 0.5000 0.0000 0.5000
O 0.6029 0.2058 0.7529
O 0.9169 0.8337 0.7257
Ga 0.9683 0.9365 0.2054
Ga 0.0317 0.0635 0.7946
O 0.3971 0.7942 0.2471
O 0.0831 0.1663 0.2743
K 0.3710 0.7419 0.9635
O 0.0000 0.0000 0.0000
K 0.2761 0.5522 0.6804
K 0.6290 0.2581 0.0365
CELL_PARAMETERS angstrom
-1.6545 1.7732 2.4485
-5.3932 -2.8682 -3.9924
-1.3408 -8.1495 4.9958
```

10.
# TaOsSe2

Crystalline TaOsSe2 at its relaxed geometry (PBE, Alexandria via LeMat-Bulk). Values from VASP.

Computed properties:
For the final energy, the calculation gives -29.979 eV for the cell shown. The formation energy from raw total energies comes out at 0.0182 eV per atom.

```
&SYSTEM
  ibrav = 0, nat = 4, ntyp = 3
/
ATOMIC_SPECIES
Se 78.96 Se.upf
Ta 180.95 Ta.upf
Os 190.23 Os.upf
ATOMIC_POSITIONS crystal
Se 0.0524 0.0524 0.0933
Ta 0.4594 0.4594 0.3640
Se 0.8073 0.8073 0.6334
Os 0.1809 0.1809 0.4093
CELL_PARAMETERS angstrom
4.9043 -0.1017 -0.0960
3.8692 3.0153 -0.0960
0.3975 0.1320 6.7399
```